The following is a DFT calculation (PBE) of a relaxed Ba4Cu2P2N crystal.

Values from the calculation:
Symmetry   No. 12
E_tot   -39.3 eV per formula unit

Lattice parameters (Å, degrees): 5.346 6.848 6.848 72.84 78.90 78.90
Element x y z (fractional)
1 Ba 0.713 0.850 0.369
2 Ba 0.713 0.369 0.850
3 Ba 0.287 0.150 0.631
4 Ba 0.287 0.631 0.150
5 Cu 0.795 0.863 0.863
6 Cu 0.205 0.137 0.137
7 P 0.852 0.309 0.309
8 P 0.148 0.691 0.691
9 N 0.500 0.000 0.000